LiAg2Sb: PBEsol geometry, SCAN. Values from VASP.

Quantum ESPRESSO input file:
```
&SYSTEM
  ibrav = 0, nat = 4, ntyp = 3
/
ATOMIC_SPECIES
Ag 107.87 Ag.upf
Li 6.94 Li.upf
Sb 121.76 Sb.upf
CELL_PARAMETERS angstrom
3.094 0.000 0.000
0.000 4.134 0.000
0.000 0.000 5.708
ATOMIC_POSITIONS crystal
Ag 0.500 0.500 0.249
Li 0.000 0.000 0.492
Sb 0.500 0.500 0.742
Ag 0.000 0.000 0.017
```

## Properties
Formation energy without anion corrections = -0.142 eV per atom
Size of the total moment = 0.000 μB per atom